# Sb

A geometry-optimized Sb structure (PBE, the Alexandria database).

Cell: 10.578 10.578 10.578 Å, 90.00 90.00 90.00°
Space group Im-3m (No. 229)
Symmetry-distinct sites (fractional):
Sb 0.139 0.139 0.139 (multiplicity 16)

Formation energy from raw total energies = 355 meV per atom
Calculated volume = 73.98 Å³/atom
Offset from the most stable computed form = 0.355 eV/atom
Total moment = 0.00 μB/f.u.
Total energy = -3.77 eV/atom